VASP calculation (PBE-GGA) on SrAc2DySe4 after structural relaxation.

Its mass density is 7.2 Mg/m³. The uncorrected energy comes out at -5.401 eV/atom. The formation energy from raw total energies comes out at -14.77 eV per formula unit.

It has space group P2/m (No. 10), with a = 7.506 Å, b = 4.312 Å, c = 7.632 Å, α = 90.00°, β = 108.83° and γ = 90.00°. Symmetry generates all atoms from Sr at (0.000, 0.000, 0.000), Ac at (0.000, 0.500, 0.500), Ac at (0.500, 0.000, 0.500), Dy at (0.500, 0.500, 0.000), Se at (0.255, 0.500, 0.234) and Se at (0.267, 0.000, 0.773).



VASP calculation (PBE-GGA) on ZnTc2Br after structural relaxation.

Its mass density is 7.7 Mg/m³. The uncorrected energy comes out at -5.769 eV/atom. The formation energy from raw total energies comes out at 0.60 eV per formula unit.

It has space group Pm (No. 6), with a = 3.067 Å, b = 3.036 Å, c = 7.901 Å, α = 90.00°, β = 90.45° and γ = 90.00°. Symmetry generates all atoms from Zn at (0.000, 0.000, 0.000), Tc at (0.009, 0.000, 0.389), Tc at (0.505, 0.500, 0.208) and Br at (0.015, 0.500, 0.656).



VASP calculation (PBE-GGA) on CaLa3Pm6Nd2 after structural relaxation.

Its mass density is 6.3 Mg/m³. As for the formation energy: 0.0345 eV per atom. The uncorrected energy comes out at -4.534 eV/atom.

It has space group C2/m (No. 12), with a = 6.399 Å, b = 11.099 Å, c = 12.231 Å, α = 90.00°, β = 100.13° and γ = 90.00°. Symmetry generates all atoms from Ca at (0.000, 0.000, 0.000), La at (0.000, 0.166, 0.500), La at (0.000, 0.500, 0.500), Pm at (0.245, 0.500, 0.251), Pm at (0.247, 0.331, 0.750) and Nd at (0.000, 0.333, 0.000).



VASP calculation (PBE-GGA) on PmNd3Tl after structural relaxation.

Its mass density is 7.9 Mg/m³. As for the formation energy: -0.1349 eV per atom. The uncorrected energy comes out at -4.419 eV/atom.

It has space group P2_1/c (No. 14), with a = 9.042 Å, b = 7.128 Å, c = 10.729 Å, α = 90.00°, β = 107.26° and γ = 90.00°. Symmetry generates all atoms from Pm at (0.217, 0.003, 0.304), Nd at (0.009, 0.750, 0.002), Nd at (0.213, 0.005, 0.803), Nd at (0.412, 0.249, 0.103) and Tl at (0.392, 0.749, 0.098).



VASP calculation (PBE-GGA) on NaYCu3 after structural relaxation.

Its mass density is 3.5 Mg/m³. As for the formation energy: 0.8154 eV per atom. The uncorrected energy comes out at -3.199 eV/atom.

It has space group Pm-3m (No. 221), with a = 5.255 Å, b = 5.255 Å, c = 5.255 Å, α = 90.00°, β = 90.00° and γ = 90.00°. Symmetry generates all atoms from Na at (0.000, 0.000, 0.000), Y at (0.500, 0.500, 0.500) and Cu at (0.000, 0.500, 0.500).



VASP calculation (PBE-GGA) on Zn2CrPb after structural relaxation.

Its mass density is 8.8 Mg/m³. As for the formation energy: 0.3424 eV per atom. The uncorrected energy comes out at -3.628 eV/atom.

It has space group P4/mmm (No. 123), with a = 4.121 Å, b = 4.121 Å, c = 4.322 Å, α = 90.00°, β = 90.00° and γ = 90.00°. Symmetry generates all atoms from Zn at (0.000, 0.500, 0.000), Cr at (0.000, 0.000, 0.500) and Pb at (0.500, 0.500, 0.500).



VASP calculation (PBE-GGA) on Y6Tm5Sc2 after structural relaxation.

Its mass density is 6.0 Mg/m³. As for the formation energy: 0.1478 eV per atom. The uncorrected energy comes out at -5.529 eV/atom.

It has space group Pbam (No. 55), with a = 10.538 Å, b = 22.072 Å, c = 3.483 Å, α = 90.00°, β = 90.00° and γ = 90.00°. Symmetry generates all atoms from Y at (0.036, 0.111, 0.000), Y at (0.135, 0.384, 0.000), Y at (0.166, 0.641, 0.500), Tm at (0.000, 0.500, 0.500), Tm at (0.086, 0.249, 0.500), Tm at (0.166, 0.989, 0.500) and Sc at (0.164, 0.773, 0.000).



VASP calculation (PBE-GGA) on BaP2S2 after structural relaxation.

Its mass density is 3.9 Mg/m³. The uncorrected energy comes out at -4.230 eV/atom. The formation energy from raw total energies comes out at -0.15 eV per formula unit.

It has space group P4/mmm (No. 123), with a = 4.735 Å, b = 4.735 Å, c = 5.044 Å, α = 90.00°, β = 90.00° and γ = 90.00°. Symmetry generates all atoms from Ba at (0.000, 0.000, 0.000), P at (0.000, 0.500, 0.500), S at (0.500, 0.500, 0.000) and S at (0.500, 0.500, 0.500).